Entry 1:
Density functional theory data (PBE) for a relaxed NaCuPOs crystal.

Output
Space group: P4/nmm (129)
Energy of formation: -0.038 eV/f.u.

abc: 3.856 3.856 10.453
angles: 90.00 90.00 90.00
Fractional positions:
Na1 0.250 0.250 0.232
Na2 0.750 0.750 0.768
Cu1 0.250 0.750 0.000
Cu2 0.750 0.250 0.000
P1 0.250 0.250 0.630
P2 0.750 0.750 0.370
Os1 0.250 0.750 0.500
Os2 0.750 0.250 0.500

Entry 2:
Density functional theory data (PBE) for a relaxed CdSiSbI2 crystal.

Output
Space group: P4/mmm (123)
Energy relative to the elements, uncorrected: 0.776 eV/atom

abc: 5.699 5.699 5.723
angles: 90.00 90.00 90.00
Fractional positions:
Cd1 0.000 0.000 0.000
Si1 0.500 0.500 0.500
Sb1 0.000 0.000 0.500
I1 0.000 0.500 0.000
I2 0.500 0.000 0.000